[1]
Density functional theory data (GGA-PBE) for TlPdSeBr6 after structural relaxation.

a b c (Å): 6.938 7.113 7.154
angles (deg): 106.46 96.77 97.25
Space group P1 (No. 1)
Asymmetric unit:
Tl: 0.000 0.000 0.000 x1
Pd: 0.500 0.304 0.695 x1
Se: 0.500 0.649 0.351 x1
Br: 0.267 0.630 0.062 x1
Br: 0.271 0.331 0.414 x1
Br: 0.294 0.996 0.687 x1
Br: 0.707 0.314 0.000 x1
Br: 0.729 0.588 0.667 x1
Br: 0.733 0.942 0.368 x1

Computed properties:
Formation energy without anion corrections   -6.99 kcal/mol of atoms
Total DFT energy (no corrections)   -2.645 eV per atom

[2]
Density functional theory data (GGA-PBE) for U2PdSe4Br after structural relaxation.

a b c (Å): 12.534 3.990 7.756
angles (deg): 90.00 105.99 90.00
Space group C2/m (No. 12)
Asymmetric unit:
U: 0.178 0.000 0.208 x4
Pd: 0.000 0.000 0.500 x2
Se: 0.133 0.500 0.452 x4
Se: 0.171 0.000 0.826 x4
Br: 0.000 0.500 0.000 x2

Computed properties:
Formation energy without anion corrections   -20.38 kcal/mol of atoms
Total DFT energy (no corrections)   -6.306 eV per atom

[3]
Density functional theory data (GGA-PBE) for VPdSe2Br after structural relaxation.

a b c (Å): 4.730 4.730 5.138
angles (deg): 90.00 90.00 90.00
Space group P4/mmm (No. 123)
Asymmetric unit:
V: 0.000 0.000 0.000 x1
Pd: 0.500 0.500 0.500 x1
Se: 0.000 0.500 0.000 x2
Br: 0.000 0.000 0.500 x1

Computed properties:
Formation energy without anion corrections   4.06 kcal/mol of atoms
Total DFT energy (no corrections)   -4.415 eV per atom
Distance to the lowest polymorph of the same formula   0.000 eV/atom

[4]
Density functional theory data (GGA-PBE) for Pd2WSeBr after structural relaxation.

a b c (Å): 4.649 4.649 5.497
angles (deg): 90.00 90.00 90.00
Space group P4/mmm (No. 123)
Asymmetric unit:
Pd: 0.000 0.500 0.000 x2
W: 0.000 0.000 0.500 x1
Se: 0.500 0.500 0.000 x1
Br: 0.500 0.500 0.500 x1

Computed properties:
Formation energy without anion corrections   30.24 kcal/mol of atoms
Total DFT energy (no corrections)   -4.388 eV per atom

[5]
Density functional theory data (GGA-PBE) for YPdSe2Br after structural relaxation.

a b c (Å): 5.497 5.497 5.466
angles (deg): 90.00 90.00 90.00
Space group P4/mmm (No. 123)
Asymmetric unit:
Y: 0.000 0.000 0.000 x1
Pd: 0.500 0.500 0.500 x1
Se: 0.000 0.500 0.000 x2
Br: 0.000 0.000 0.500 x1

Computed properties:
Formation energy without anion corrections   -5.84 kcal/mol of atoms
Total DFT energy (no corrections)   -4.313 eV per atom
Distance to the lowest polymorph of the same formula   0.290 eV/atom

[6]
Density functional theory data (GGA-PBE) for YPdSe2Br after structural relaxation.

a b c (Å): 5.038 5.038 4.899
angles (deg): 90.00 90.00 90.00
Space group P4/mmm (No. 123)
Asymmetric unit:
Y: 0.000 0.000 0.000 x1
Pd: 0.500 0.500 0.500 x1
Se: 0.000 0.500 0.500 x2
Br: 0.500 0.500 0.000 x1

Computed properties:
Formation energy without anion corrections   -12.53 kcal/mol of atoms
Total DFT energy (no corrections)   -4.603 eV per atom
Distance to the lowest polymorph of the same formula   0.000 eV/atom

[7]
Density functional theory data (GGA-PBE) for ZnPdSe2Br after structural relaxation.

a b c (Å): 4.899 4.899 5.179
angles (deg): 90.00 90.00 90.00
Space group P4/mmm (No. 123)
Asymmetric unit:
Zn: 0.000 0.000 0.000 x1
Pd: 0.500 0.500 0.500 x1
Se: 0.000 0.500 0.000 x2
Br: 0.000 0.000 0.500 x1

Computed properties:
Formation energy without anion corrections   11.75 kcal/mol of atoms
Total DFT energy (no corrections)   -2.512 eV per atom
Distance to the lowest polymorph of the same formula   0.197 eV/atom

[8]
Density functional theory data (GGA-PBE) for ZnPdSeBr2 after structural relaxation.

a b c (Å): 5.108 5.108 5.038
angles (deg): 90.00 90.00 90.00
Space group P4/mmm (No. 123)
Asymmetric unit:
Zn: 0.000 0.000 0.000 x1
Pd: 0.500 0.500 0.500 x1
Se: 0.500 0.500 0.000 x1
Br: 0.000 0.500 0.500 x2

Computed properties:
Formation energy without anion corrections   3.80 kcal/mol of atoms
Total DFT energy (no corrections)   -2.495 eV per atom
Distance to the lowest polymorph of the same formula   0.000 eV/atom